Record 1
Hf8ReRh2 | PBE | optimized geometry

Results
VASP energy, eV/atom: -10.06
Size of the total moment, μB/f.u.: 0.00
Crystal system: monoclinic
Density of states at the Fermi level, states/eV/atom: 0.74

Unit cell a=8.194 b=8.194 c=6.165 alpha=99.24 beta=99.24 gamma=33.27
Fractional coordinates of all 11 atoms:
Hf (0.031, 0.031, 0.254)
Hf (0.188, 0.188, 0.813)
Hf (0.334, 0.334, 0.544)
Hf (0.412, 0.412, 0.056)
Hf (0.588, 0.588, 0.944)
Hf (0.666, 0.666, 0.456)
Hf (0.812, 0.812, 0.187)
Hf (0.969, 0.969, 0.746)
Re (0.500, 0.500, 0.500)
Rh (0.206, 0.206, 0.229)
Rh (0.794, 0.794, 0.771)

Record 2
HfReRh | PBE | optimized geometry

Results
VASP energy, eV/atom: -10.23
Size of the total moment, μB/f.u.: 0.00
Crystal system: hexagonal
Density of states at the Fermi level, states/eV/atom: 1.39

Unit cell a=4.674 b=4.674 c=5.255 alpha=90.00 beta=90.00 gamma=120.00
Fractional coordinates of all 6 atoms:
Hf (0.333, 0.667, 0.250)
Hf (0.667, 0.333, 0.750)
Re (0.000, 0.000, 0.000)
Re (0.000, 0.000, 0.500)
Rh (0.333, 0.667, 0.750)
Rh (0.667, 0.333, 0.250)

Record 3
Hf2ReRh | PBE | optimized geometry

Results
VASP energy, eV/atom: -10.65
Size of the total moment, μB/f.u.: 0.00
Energy relative to the lowest polymorph listed for this composition, meV per atom: 0
Crystal system: tetragonal
Density of states at the Fermi level, states/eV/atom: 0.32

Unit cell a=3.284 b=3.284 c=6.482 alpha=90.00 beta=90.00 gamma=90.00
Fractional coordinates of all 4 atoms:
Hf (0.000, 0.000, 0.246)
Hf (0.000, 0.000, 0.754)
Re (0.500, 0.500, 0.000)
Rh (0.500, 0.500, 0.500)

Q: What is the formula in the second record?
A: HfReRh

Please write out number 2 again, unchanged.
HfReRh | PBE | optimized geometry

Results
VASP energy, eV/atom: -10.23
Size of the total moment, μB/f.u.: 0.00
Crystal system: hexagonal
Density of states at the Fermi level, states/eV/atom: 1.39

Unit cell a=4.674 b=4.674 c=5.255 alpha=90.00 beta=90.00 gamma=120.00
Fractional coordinates of all 6 atoms:
Hf (0.333, 0.667, 0.250)
Hf (0.667, 0.333, 0.750)
Re (0.000, 0.000, 0.000)
Re (0.000, 0.000, 0.500)
Rh (0.333, 0.667, 0.750)
Rh (0.667, 0.333, 0.250)